Entry 1:
This record from the Open Quantum Materials Database describes crystalline TaCuPd at its relaxed geometry. The functional is PBE.

Cell lengths 4.224, 4.224, 4.224 Å; angles 60.00, 60.00, 60.00 degrees
Positions (direct):
Ta  0.000  0.000  0.000
Cu  0.500  0.500  0.500
Pd  0.750  0.750  0.750

## Properties
Its total energy is -6.5733 eV per atom. Its energy above the most stable polymorph in this dataset is 0 meV/atom.

---

Entry 2:
This record from the Open Quantum Materials Database describes crystalline TaCuPd2 at its relaxed geometry. The functional is PBE.

Cell lengths 4.407, 4.407, 4.407 Å; angles 60.00, 60.00, 60.00 degrees
Positions (direct):
Ta  0.000  0.000  0.000
Cu  0.250  0.250  0.250
Pd  0.500  0.500  0.500
Pd  0.750  0.750  0.750

## Properties
Its total energy is -6.5801 eV per atom.

---

no.,formation enthalpy at 0 K (eV per atom)
1,0.342
2,-0.100